Entry 1:
Entry from Alexandria via LeMat-Bulk: a relaxed structure of TaCrSe2 (PBE).

The calculation puts the polymorph energy (0 for the lowest one) at 0.266 eV/atom. For the raw formation energy, the calculation gives -147 meV per atom.

Cell: 3.2649 3.2649 6.6194 Å, 90.00 90.00 90.00°
Positions (direct):
Ta  0.0000  0.0000  0.0000
Cr  0.0000  0.0000  0.5000
Se  0.5000  0.5000  0.2322
Se  0.5000  0.5000  0.7678

Entry 2:
Entry from Alexandria via LeMat-Bulk: a relaxed structure of TaCrSe2 (PBE).

The calculation puts the polymorph energy (0 for the lowest one) at 0.270 eV/atom. For the raw formation energy, the calculation gives -142 meV per atom.

Cell: 7.6768 7.6768 7.6768 Å, 25.79 25.79 25.79°
Positions (direct):
Ta  0.0000  0.0000  0.0000
Cr  0.5000  0.5000  0.5000
Se  0.2529  0.2529  0.2529
Se  0.7471  0.7471  0.7471

Entry 3:
Entry from Alexandria via LeMat-Bulk: a relaxed structure of Ta2CrTe2Se4 (PBE).

For the raw formation energy, the calculation gives -579 meV per atom.

Cell: 3.4750 3.4750 22.0175 Å, 90.00 90.00 120.00°
Positions (direct):
Ta  0.0000  0.0000  0.0000
Ta  0.3333  0.6667  0.3215
Cr  0.3333  0.6667  0.6751
Te  0.0000  0.0000  0.5973
Te  0.0000  0.0000  0.7530
Se  0.0000  0.0000  0.2453
Se  0.0000  0.0000  0.3977
Se  0.3333  0.6667  0.0762
Se  0.3333  0.6667  0.9238

Entry 4:
Entry from Alexandria via LeMat-Bulk: a relaxed structure of Ta2CrTe4Se2 (PBE).

For the raw formation energy, the calculation gives -315 meV per atom.

Cell: 3.6175 3.6175 21.8232 Å, 90.00 90.00 120.00°
Positions (direct):
Ta  0.0000  0.0000  0.0000
Ta  0.3333  0.6667  0.3426
Cr  0.3333  0.6667  0.6912
Te  0.0000  0.0000  0.2571
Te  0.0000  0.0000  0.4284
Te  0.3333  0.6667  0.0860
Te  0.3333  0.6667  0.9147
Se  0.0000  0.0000  0.6232
Se  0.0000  0.0000  0.7596

Entry 5:
Entry from Alexandria via LeMat-Bulk: a relaxed structure of Ta2Tl2CrSe6 (PBE).

For the raw formation energy, the calculation gives -579 meV per atom.

Cell: 6.2650 6.2650 8.5158 Å, 95.92 95.92 120.41°
Positions (direct):
Ta  0.1353  0.8647  0.0000
Ta  0.8647  0.1353  0.0000
Tl  0.3130  0.6870  0.5000
Tl  0.6870  0.3130  0.5000
Cr  0.5000  0.5000  0.0000
Se  0.1210  0.4598  0.8266
Se  0.2512  0.2512  0.2091
Se  0.4598  0.1210  0.8266
Se  0.5402  0.8790  0.1734
Se  0.7488  0.7488  0.7909
Se  0.8790  0.5402  0.1734

Entry 6:
Entry from Alexandria via LeMat-Bulk: a relaxed structure of TaTl3Cr2Se6 (PBE).

For the raw formation energy, the calculation gives -487 meV per atom.

Cell: 6.2402 6.2402 8.9530 Å, 96.06 96.06 119.95°
Positions (direct):
Ta  0.0000  0.0000  0.0000
Tl  0.1680  0.8320  0.5000
Tl  0.5000  0.5000  0.5000
Tl  0.8320  0.1680  0.5000
Cr  0.3333  0.6667  0.0000
Cr  0.6667  0.3333  0.0000
Se  0.0518  0.3930  0.1711
Se  0.2889  0.2889  0.8291
Se  0.3930  0.0518  0.1711
Se  0.6070  0.9482  0.8289
Se  0.7111  0.7111  0.1709
Se  0.9482  0.6070  0.8289

Entry 7:
Entry from Alexandria via LeMat-Bulk: a relaxed structure of TbCrSe3 (PBE).

For the raw formation energy, the calculation gives -1024 meV per atom.

Cell: 7.2456 3.7862 7.8979 Å, 90.00 99.61 90.00°
Positions (direct):
Tb  0.1102  0.2500  0.2984
Tb  0.8898  0.7500  0.7016
Cr  0.3840  0.7500  0.8829
Cr  0.6160  0.2500  0.1171
Se  0.1459  0.2500  0.9148
Se  0.2295  0.7500  0.5625
Se  0.4193  0.7500  0.1868
Se  0.5807  0.2500  0.8132
Se  0.7705  0.2500  0.4375
Se  0.8541  0.7500  0.0852

Entry 8:
Entry from Alexandria via LeMat-Bulk: a relaxed structure of CrTcSe (PBE).

The calculation puts the polymorph energy (0 for the lowest one) at 0.019 eV/atom. For the raw formation energy, the calculation gives 174 meV per atom.

Cell: 5.2166 5.2166 5.2166 Å, 147.18 147.18 47.10°
Positions (direct):
Cr  0.0000  0.0000  0.0000
Tc  0.6753  0.6753  0.0000
Se  0.3512  0.3512  0.0000

Entry 9:
Entry from Alexandria via LeMat-Bulk: a relaxed structure of CrTc2Se (PBE).

For the raw formation energy, the calculation gives 336 meV per atom.

Cell: 2.9972 4.2788 4.4575 Å, 90.00 90.00 90.00°
Positions (direct):
Cr  0.0000  0.0000  0.0000
Tc  0.0000  0.5000  0.5000
Tc  0.5000  0.5000  0.0000
Se  0.5000  0.0000  0.5000

Entry 10:
Entry from Alexandria via LeMat-Bulk: a relaxed structure of CrTcSe2 (PBE).

The calculation puts the polymorph energy (0 for the lowest one) at 0.367 eV/atom. For the raw formation energy, the calculation gives 116 meV per atom.

Cell: 4.1116 3.2524 5.2293 Å, 90.00 107.75 90.00°
Positions (direct):
Cr  0.0000  0.0000  0.0000
Tc  0.5000  0.5000  0.5000
Se  0.0000  0.0000  0.5000
Se  0.5000  0.5000  0.0000

Entry 11:
Entry from Alexandria via LeMat-Bulk: a relaxed structure of CrTcSe2 (PBE).

The calculation puts the polymorph energy (0 for the lowest one) at 0.115 eV/atom. For the raw formation energy, the calculation gives -136 meV per atom.

Cell: 3.2565 3.2565 7.1583 Å, 90.00 90.00 90.00°
Positions (direct):
Cr  0.0000  0.0000  0.0000
Tc  0.5000  0.5000  0.7652
Se  0.0000  0.0000  0.5979
Se  0.5000  0.5000  0.1378

Entry 12:
Entry from Alexandria via LeMat-Bulk: a relaxed structure of CrTc2Se (PBE).

For the raw formation energy, the calculation gives 383 meV per atom.

Cell: 4.8679 4.8679 4.8679 Å, 134.53 134.53 66.26°
Positions (direct):
Cr  0.0000  0.0000  0.0000
Tc  0.2500  0.7500  0.5000
Tc  0.7500  0.2500  0.5000
Se  0.5000  0.5000  0.0000

Entry 13:
Entry from Alexandria via LeMat-Bulk: a relaxed structure of CrTc3Se (PBE).

The calculation puts the polymorph energy (0 for the lowest one) at 0.104 eV/atom. For the raw formation energy, the calculation gives 1463 meV per atom.

Cell: 4.4736 4.4736 4.4736 Å, 90.00 90.00 90.00°
Positions (direct):
Cr  0.0000  0.0000  0.0000
Tc  0.0000  0.5000  0.5000
Tc  0.5000  0.0000  0.5000
Tc  0.5000  0.5000  0.0000
Se  0.5000  0.5000  0.5000

Entry 14:
Entry from Alexandria via LeMat-Bulk: a relaxed structure of CrTc2Se (PBE).

For the raw formation energy, the calculation gives 276 meV per atom.

Cell: 2.9710 3.9320 5.0528 Å, 90.00 90.00 90.00°
Positions (direct):
Cr  0.0000  0.0000  0.0000
Tc  0.0000  0.0000  0.5067
Tc  0.5000  0.5000  0.7253
Se  0.5000  0.5000  0.2266